DFT (SCAN) results for KFe2Pb at its PBEsol-relaxed geometry.

The formation enthalpy at 0 K is 991.6 meV/atom. The density of states at the Fermi level is 2.80 states/eV/f.u. As for the relative energy among the computed polymorphs: 0.632 eV per atom. The value obtained for the total magnetization is 17.75 μB per cell.

It has space group R-3m (No. 166, hexagonal axes), with a = 3.0763 Å, b = 3.0763 Å, c = 30.7077 Å, α = 90.00°, β = 90.00° and γ = 120.00°. Symmetry generates all atoms from K at (0.0000, 0.0000, 0.0000), Fe at (0.0000, 0.0000, 0.2399) and Pb at (0.0000, 0.0000, 0.5000).